Rb2FeP2O6 GGA+U relaxed; space group = C2/m; total moment = 3.95 μB/f.u.; electronic total energy = -6.402 eV/atom; crystal system = monoclinic; Fermi-level density of states = 0.000 states/eV per atom
1.0
-3.4282 2.2792 3.9905
0.8654 -5.7215 -0.1074
4.8857 3.5100 2.1925
Rb Fe P O
2 1 2 6
Cartesian
-1.2403 -0.2974 3.2230 Rb
3.5632 0.3651 2.8526 Rb
0.7287 2.8946 3.0915 Fe
1.4499 -0.0461 5.3906 P
0.8730 0.1138 0.6850 P
1.3651 1.2601 4.5718 O
0.5524 1.3567 1.5533 O
3.6558 -2.5424 2.3277 O
1.7704 -1.2890 4.5223 O
-1.3330 2.6101 3.7479 O
0.9577 -1.1925 1.5039 O